{"formula": "Tb6AlZn3", "functional": "PBE-GGA", "state": "optimized geometry", "cell": [[9.131, 0.000, 0.000], [0.000, 5.047, 0.000], [-3.140, 0.000, 10.829]], "species": ["Tb", "Tb", "Tb", "Tb", "Tb", "Tb", "Tb", "Tb", "Tb", "Tb", "Tb", "Tb", "Al", "Al", "Zn", "Zn", "Zn", "Zn", "Zn", "Zn"], "frac_coords": [[0.023, 0.250, 0.399], [0.147, 0.750, 0.180], [0.246, 0.250, 0.000], [0.342, 0.750, 0.824], [0.378, 0.250, 0.339], [0.380, 0.250, 0.619], [0.620, 0.750, 0.381], [0.622, 0.750, 0.661], [0.658, 0.250, 0.176], [0.754, 0.750, 0.000], [0.853, 0.250, 0.820], [0.977, 0.750, 0.601], [0.451, 0.750, 0.111], [0.549, 0.250, 0.889], [0.033, 0.750, 0.885], [0.125, 0.250, 0.724], [0.273, 0.750, 0.470], [0.727, 0.250, 0.530], [0.875, 0.750, 0.276], [0.967, 0.250, 0.115]], "spacegroup": "P2_1/m, No. 11", "energy_ev_per_cell": -75.5, "delta_e_f_ev_per_atom": -0.242, "volume_a3_per_atom": 24.95}